Record 1
A plane-wave DFT calculation with PBE was carried out for a relaxed Pr3NbO6 crystal.

Lattice parameters (Å, degrees): 9.5502 11.5815 5.8189 90.00 90.00 90.00
Closest atoms and distances in Å follow each position.
Space group Cmc2_1 (No. 36)
Asymmetric unit:
Pr 0.0000 0.1009 0.0000 [4 per cell]  7 O 2.38-2.64
Pr 0.1886 0.4065 0.9569 [8 per cell]  7 O 2.36-2.63
Nb 0.0000 0.3162 0.4327 [4 per cell]  4 O 1.93-2.11
O 0.0000 0.2816 0.7565 [4 per cell]  1 Nb 1.93
O 0.0000 0.4758 0.2570 [4 per cell]  1 Nb 2.11
O 0.1493 0.2453 0.2522 [8 per cell]  1 Nb 1.95
O 0.1533 0.0148 0.7268 [8 per cell]  4 Pr 2.36-2.38

Output
**Energy relative to the elements, uncorrected**: -280.2 kJ/mol of atoms
**Calculated density**: 6312 kg/m3
**Total magnetic moment**: 0.000 μB/f.u.

Record 2
A plane-wave DFT calculation with PBE was carried out for a relaxed PaAlReSi2 crystal.

Lattice parameters (Å, degrees): 5.6371 5.4558 5.6562 90.00 90.00 90.00
Closest atoms and distances in Å follow each position.
Space group Pmma (No. 51)
Asymmetric unit:
Pa 0.2500 0.0000 0.2191 [2 per cell]  2 Al 2.88, 8 Si 3.01-3.14
Al 0.2500 0.5000 0.3838 [2 per cell]  2 Si 2.49, 2 Re 2.59
Re 0.0000 0.5000 0.0000 [2 per cell]  4 Si 2.57, 2 Al 2.59, 2 Re 2.82
Si 0.2500 0.2203 0.7321 [4 per cell]  1 Si 2.40, 1 Al 2.49, 2 Re 2.57

Output
**Energy relative to the elements, uncorrected**: -34.9 kJ/mol of atoms
**Calculated density**: 9553 kg/m3
**Total magnetic moment**: 0.000 μB/f.u.

Record 3
A plane-wave DFT calculation with PBE was carried out for a relaxed KCaTa2 crystal.

Lattice parameters (Å, degrees): 4.0361 4.0361 24.1666 90.00 90.00 90.00
Closest atoms and distances in Å follow each position.
Space group I-42d (No. 122)
Asymmetric unit:
K 0.0000 0.0000 0.0000 [4 per cell]  4 Ca 2.85
Ca 0.0000 0.0000 0.5000 [4 per cell]  4 K 2.85
Ta 0.2420 0.7500 0.6250 [8 per cell]  4 Ta 2.81-2.90

Output
**Calculated density**: 7442 kg/m3
**Total magnetic moment**: 0.000 μB/f.u.
**Energy relative to the elements**: 1.42 eV per atom
**Energy above the most stable polymorph in this dataset**: 807.6 meV/atom